DFT (GGA-PBE) results for a relaxed CdAsPd2 crystal.

The structure in extended XYZ format:
```
8
Lattice="3.295 -0.024 0.000 -1.686 5.899 0.000 0.000 0.000 7.170" Properties=species:S:1:pos:R:3 pbc="T T T"
Pd -0.045 4.331 6.863
Pd 1.654 1.543 0.307
Pd 1.654 1.543 3.278
Pd -0.045 4.331 3.892
As 1.602 3.023 5.378
As 0.007 2.851 1.793
Cd 0.000 0.338 5.378
Cd 1.609 5.537 1.793
```

Computed properties:
As for the spin magnetization: 0.0 μB/f.u. The final energy comes out at -0.3178 Ry/atom. As for the space-group type: P2_1/m, No. 11. The density of states at the Fermi level comes out at 0.3635 states/eV per atom.